A plane-wave DFT calculation with PBE was carried out for a geometry-optimized TiNi2IrRh structure.

Summary:
Symmetry: P4/mmm
Formation enthalpy at 0 K, eV/f.u.: 5.72
Volume, A^3/atom: 18.84
ρ, g/cm3: 8.1

Structure (POSCAR):
```
TiNi2IrRh
1.0
4.479 0.000 0.000
0.000 4.479 0.000
0.000 0.000 4.697
Ti Ni Ir Rh
1 2 1 1
direct
0.000 0.000 0.000
0.000 0.500 0.500
0.500 0.000 0.500
0.500 0.500 0.500
0.500 0.500 0.000
```



A plane-wave DFT calculation with PBE was carried out for a geometry-optimized CaCeMgAg structure.

Summary:
Symmetry: F-43m
Formation enthalpy at 0 K, eV/f.u.: -0.19
Volume, A^3/atom: 27.55
ρ, g/cm3: 4.7

Structure (POSCAR):
```
CaCeMgAg
1.0
0.000 3.805 3.805
3.805 0.000 3.805
3.805 3.805 0.000
Ca Ce Mg Ag
1 1 1 1
direct
0.000 0.000 0.000
0.500 0.500 0.500
0.750 0.750 0.750
0.250 0.250 0.250
```



A plane-wave DFT calculation with PBE was carried out for a geometry-optimized Pr3Cu2Pt6 structure.

Summary:
Symmetry: Im-3m
Formation enthalpy at 0 K, eV/f.u.: -8.70
Volume, A^3/atom: 20.32
ρ, g/cm3: 12.8

Structure (POSCAR):
```
Pr3Cu2Pt6
1.0
-4.817 4.817 4.817
4.817 -4.817 4.817
4.817 4.817 -4.817
Pr Cu Pt
6 4 12
direct
0.000 0.299 0.299
0.000 0.701 0.701
0.299 0.000 0.299
0.299 0.299 0.000
0.701 0.000 0.701
0.701 0.701 0.000
0.000 0.000 0.500
0.000 0.500 0.000
0.500 0.000 0.000
0.500 0.500 0.500
0.000 0.329 0.671
0.000 0.671 0.329
0.329 0.000 0.671
0.329 0.329 0.657
0.329 0.657 0.329
0.329 0.671 0.000
0.343 0.671 0.671
0.657 0.329 0.329
0.671 0.000 0.329
0.671 0.329 0.000
0.671 0.343 0.671
0.671 0.671 0.343
```



A plane-wave DFT calculation with PBE was carried out for a geometry-optimized Tb2Pm6Sc structure.

Summary:
Offset from the most stable computed form, eV per atom: 0.000
Symmetry: C2/c
Formation enthalpy at 0 K, eV/f.u.: 0.83
Volume, A^3/atom: 32.61
ρ, g/cm3: 7.0

Structure (POSCAR):
```
Tb2Pm6Sc
1.0
8.149 -5.857 0.000
8.149 5.857 0.000
-0.674 0.000 6.149
Tb Pm Sc
4 12 2
direct
0.069 0.272 0.072
0.272 0.069 0.572
0.728 0.931 0.428
0.931 0.728 0.928
0.093 0.810 0.488
0.151 0.432 0.647
0.190 0.907 0.012
0.253 0.525 0.175
0.432 0.151 0.147
0.475 0.747 0.325
0.525 0.253 0.675
0.568 0.849 0.853
0.747 0.475 0.825
0.810 0.093 0.988
0.849 0.568 0.353
0.907 0.190 0.512
0.395 0.605 0.750
0.605 0.395 0.250
```



A plane-wave DFT calculation with PBE was carried out for a geometry-optimized LaSmTe2O structure.

Summary:
Formation energy without anion corrections, eV/f.u.: -10.7
Symmetry: P4/nmm
Volume, A^3/atom: 29.57
ρ, g/cm3: 6.3

Structure (POSCAR):
```
LaSmTe2O
1.0
4.295 0.000 0.000
0.000 4.295 0.000
0.000 0.000 16.027
La Sm Te O
2 2 4 2
direct
0.250 0.250 0.071
0.750 0.750 0.929
0.250 0.250 0.631
0.750 0.750 0.369
0.250 0.250 0.415
0.250 0.250 0.812
0.750 0.750 0.188
0.750 0.750 0.585
0.250 0.750 0.000
0.750 0.250 0.000
```



A plane-wave DFT calculation with PBE was carried out for a geometry-optimized LaPmSmDy structure.

Summary:
Symmetry: F-43m
Formation enthalpy at 0 K, eV/f.u.: 0.52
Volume, A^3/atom: 34.44
ρ, g/cm3: 7.2

Structure (POSCAR):
```
LaPmSmDy
1.0
0.000 4.099 4.099
4.099 0.000 4.099
4.099 4.099 0.000
La Pm Sm Dy
1 1 1 1
direct
0.000 0.000 0.000
0.750 0.750 0.750
0.500 0.500 0.500
0.250 0.250 0.250
```



A plane-wave DFT calculation with PBE was carried out for a geometry-optimized TlInTc4 structure.

Summary:
Symmetry: F-43m
Formation enthalpy at 0 K, eV/f.u.: 3.27
Volume, A^3/atom: 17.44
ρ, g/cm3: 11.3

Structure (POSCAR):
```
TlInTc4
1.0
0.000 3.740 3.740
3.740 0.000 3.740
3.740 3.740 0.000
Tl In Tc
1 1 4
direct
0.000 0.000 0.000
0.750 0.750 0.750
0.375 0.375 0.375
0.375 0.375 0.875
0.375 0.875 0.375
0.875 0.375 0.375
```



A plane-wave DFT calculation with PBE was carried out for a geometry-optimized Dy2YAg structure.

Summary:
Offset from the most stable computed form, eV per atom: 0.000
Symmetry: P4/mmm
Formation enthalpy at 0 K, eV/f.u.: -0.53
Volume, A^3/atom: 28.29
ρ, g/cm3: 7.7

Structure (POSCAR):
```
Dy2YAg
1.0
3.566 0.000 0.000
0.000 3.566 0.000
0.000 0.000 8.899
Dy Y Ag
2 1 1
direct
0.000 0.000 0.213
0.000 0.000 0.787
0.500 0.500 0.500
0.500 0.500 0.000
```



A plane-wave DFT calculation with PBE was carried out for a geometry-optimized HfMnGaBr2 structure.

Summary:
Formation energy without anion corrections, eV/f.u.: 4.9
Symmetry: P4/mmm
Volume, A^3/atom: 40.13
ρ, g/cm3: 3.8

Structure (POSCAR):
```
HfMnGaBr2
1.0
5.690 0.000 0.000
0.000 5.690 0.000
0.000 0.000 6.198
Hf Mn Ga Br
1 1 1 2
direct
0.000 0.000 0.000
0.500 0.500 0.000
0.000 0.000 0.500
0.000 0.500 0.500
0.500 0.000 0.500
```



A plane-wave DFT calculation with PBE was carried out for a geometry-optimized K2Sn3BiPt4 structure.

Summary:
Symmetry: P-4m2
Formation enthalpy at 0 K, eV/f.u.: -4.39
Volume, A^3/atom: 24.83
ρ, g/cm3: 9.5

Structure (POSCAR):
```
K2Sn3BiPt4
1.0
4.844 0.000 0.000
0.000 4.844 0.000
0.000 0.000 10.581
K Sn Bi Pt
2 3 1 4
direct
0.000 0.500 0.241
0.500 0.000 0.759
0.000 0.500 0.884
0.500 0.000 0.116
0.500 0.500 0.500
0.000 0.000 0.500
0.000 0.000 0.000
0.000 0.500 0.630
0.500 0.000 0.370
0.500 0.500 0.000
```



A plane-wave DFT calculation with PBE was carried out for a geometry-optimized NaIn3Hg6 structure.

Summary:
Offset from the most stable computed form, eV per atom: 0.022
Symmetry: Cmc2_1
Formation enthalpy at 0 K, eV/f.u.: -0.43
Volume, A^3/atom: 26.84
ρ, g/cm3: 9.7

Structure (POSCAR):
```
NaIn3Hg6
1.0
4.581 -6.511 0.000
4.581 6.511 0.000
0.000 0.000 8.998
Na In Hg
2 6 12
direct
0.196 0.804 0.500
0.804 0.196 0.000
0.034 0.323 0.602
0.323 0.034 0.102
0.449 0.551 0.647
0.551 0.449 0.147
0.677 0.966 0.602
0.966 0.677 0.102
0.023 0.977 0.776
0.177 0.482 0.271
0.214 0.350 0.942
0.255 0.745 0.846
0.350 0.214 0.442
0.482 0.177 0.771
0.518 0.823 0.271
0.650 0.786 0.942
0.745 0.255 0.346
0.786 0.650 0.442
0.823 0.518 0.771
0.977 0.023 0.276
```



A plane-wave DFT calculation with PBE was carried out for a geometry-optimized ThInIr structure.

Summary:
Symmetry: Pmma
Formation enthalpy at 0 K, eV/f.u.: -2.17
Volume, A^3/atom: 23.30
ρ, g/cm3: 12.8

Structure (POSCAR):
```
ThInIr
1.0
13.564 0.000 0.000
0.000 3.953 0.000
0.000 0.000 7.822
Th In Ir
6 6 6
direct
0.047 0.000 0.221
0.250 0.000 0.843
0.453 0.000 0.221
0.547 0.000 0.779
0.750 0.000 0.157
0.953 0.000 0.779
0.118 0.500 0.559
0.250 0.500 0.192
0.382 0.500 0.559
0.618 0.500 0.441
0.750 0.500 0.808
0.882 0.500 0.441
0.100 0.500 0.926
0.250 0.000 0.440
0.400 0.500 0.926
0.600 0.500 0.074
0.750 0.000 0.560
0.900 0.500 0.074
```



Number 7 is which compound?
TlInTc4



volume of number 8 (Dy2YAg)?
28.29 A^3/atom



ρ of number 3 (Pr3Cu2Pt6)?
12.8 g/cm3